The following is a PBEsol calculation of a relaxed structure of Ni2SnHSe, from Alexandria.

Lattice parameters (Å, degrees): 3.515 4.718 4.718 90.00 90.00 90.00
Fractional coordinates of all 5 atoms:
H 0.500 0.000 0.000
Se 0.500 0.500 0.500
Sn 0.000 0.000 0.000
Ni 0.000 0.500 0.000
Ni 0.000 0.000 0.500

## Properties
- Calculated total energy: -4.079 eV per atom
- Magnetic moment: 0.000 μB/atom